# 1
A plane-wave DFT calculation with GGA-PBE was carried out for a relaxed structure of IrSCl2O.

Results
The calculation puts the total magnetization at 2.27 μB/f.u. The relative energy among the computed polymorphs comes out at 53.5 kJ/mol of atoms. The value obtained for the total energy is -2.933 eV per atom. For the density of states at the Fermi level, the calculation gives 5.54 states/eV per cell.

a b c (Å): 4.419 4.419 4.169
angles (deg): 90.00 90.00 90.00
Fractional coordinates of all 5 atoms:
Ir  0.000  0.000  0.000
S  0.500  0.500  0.000
Cl  0.000  0.500  0.500
Cl  0.500  0.000  0.500
O  0.500  0.500  0.500

# 2
A plane-wave DFT calculation with GGA-PBE was carried out for a relaxed structure of IrS2Cl3O7.

Results
The calculation puts the total magnetization at 1.96 μB/f.u. The value obtained for the total energy is -4.931 eV per atom.

a b c (Å): 7.078 8.554 10.647
angles (deg): 90.00 109.06 90.00
Fractional coordinates of all 26 atoms:
Ir  0.185  0.250  0.291
Ir  0.815  0.750  0.709
S  0.313  0.250  0.041
S  0.432  0.250  0.616
S  0.568  0.750  0.384
S  0.687  0.750  0.959
Cl  0.010  0.750  0.931
Cl  0.207  0.523  0.288
Cl  0.207  0.977  0.288
Cl  0.793  0.023  0.712
Cl  0.793  0.477  0.712
Cl  0.990  0.250  0.069
O  0.015  0.750  0.641
O  0.242  0.159  0.640
O  0.242  0.341  0.640
O  0.315  0.104  0.976
O  0.315  0.396  0.976
O  0.407  0.250  0.189
O  0.416  0.250  0.473
O  0.584  0.750  0.527
O  0.593  0.750  0.811
O  0.685  0.604  0.024
O  0.685  0.896  0.024
O  0.758  0.659  0.360
O  0.758  0.841  0.360
O  0.985  0.250  0.359

# 3
A plane-wave DFT calculation with GGA-PBE was carried out for a relaxed structure of Sc3IrCl2O6.

Results
The calculation puts the total magnetization at 2.04 μB/f.u. The value obtained for the total energy is -7.202 eV per atom. For the density of states at the Fermi level, the calculation gives 3.78 states/eV per cell.

a b c (Å): 6.254 6.254 5.289
angles (deg): 99.27 99.27 59.12
Fractional coordinates of all 12 atoms:
Sc  0.000  0.000  0.000
Sc  0.000  0.500  0.500
Sc  0.500  0.000  0.500
Ir  0.500  0.500  0.500
Cl  0.201  0.201  0.837
Cl  0.799  0.799  0.163
O  0.193  0.684  0.710
O  0.316  0.807  0.290
O  0.321  0.321  0.327
O  0.679  0.679  0.673
O  0.684  0.193  0.710
O  0.807  0.316  0.290

# 4
A plane-wave DFT calculation with GGA-PBE was carried out for a relaxed structure of IrSe2ClO.

Results
The calculation puts the total magnetization at 0.18 μB/f.u. The value obtained for the total energy is -3.615 eV per atom. For the density of states at the Fermi level, the calculation gives 6.37 states/eV per cell.

a b c (Å): 4.825 4.825 4.839
angles (deg): 90.00 90.00 90.00
Fractional coordinates of all 5 atoms:
Ir  0.000  0.000  0.000
Se  0.000  0.500  0.000
Se  0.500  0.000  0.000
Cl  0.000  0.000  0.500
O  0.500  0.500  0.500

# 5
A plane-wave DFT calculation with GGA-PBE was carried out for a relaxed structure of Sm3IrCl2O6.

Results
The calculation puts the total magnetization at 2.03 μB/f.u. The value obtained for the total energy is -6.731 eV per atom. For the density of states at the Fermi level, the calculation gives 4.19 states/eV per cell.

a b c (Å): 6.679 6.679 5.591
angles (deg): 97.58 97.58 59.76
Fractional coordinates of all 12 atoms:
Sm  0.000  0.000  0.000
Sm  0.000  0.500  0.500
Sm  0.500  0.000  0.500
Ir  0.500  0.500  0.500
Cl  0.214  0.214  0.866
Cl  0.786  0.786  0.134
O  0.208  0.679  0.701
O  0.321  0.792  0.299
O  0.338  0.338  0.327
O  0.662  0.662  0.673
O  0.679  0.208  0.701
O  0.792  0.321  0.299

# 6
A plane-wave DFT calculation with GGA-PBE was carried out for a relaxed structure of Sr2IrClO4.

Results
The calculation puts the total magnetization at 2.00 μB/f.u. The value obtained for the total energy is -6.067 eV per atom.

a b c (Å): 4.989 4.989 9.411
angles (deg): 110.34 110.34 39.90
Fractional coordinates of all 8 atoms:
Sr  0.168  0.168  0.266
Sr  0.832  0.832  0.734
Ir  0.000  0.000  0.500
Cl  0.500  0.500  0.000
O  0.135  0.135  0.709
O  0.389  0.389  0.542
O  0.611  0.611  0.458
O  0.865  0.865  0.291